First-principles (PBE with a Hubbard U) data for FeSi2O6 after structural relaxation, as listed in Alexandria via LeMat-Bulk.

```
FeSi2O6
1.0
4.869 -4.385 0.000
4.869 4.385 0.000
-1.772 0.000 5.059
Fe Si O
2 4 12
direct
0.100 0.900 0.750
0.900 0.100 0.250
0.211 0.382 0.745
0.382 0.211 0.245
0.618 0.789 0.755
0.789 0.618 0.255
0.043 0.189 0.637
0.096 0.616 0.782
0.189 0.043 0.137
0.354 0.360 0.034
0.360 0.354 0.534
0.384 0.904 0.718
0.616 0.096 0.282
0.640 0.646 0.466
0.646 0.640 0.966
0.811 0.957 0.863
0.904 0.384 0.218
0.957 0.811 0.363
```

Output
The magnetization is 4.0 μB/f.u. For the total energy, the calculation gives -130.44 eV/cell.